First-principles (PBE) data for a geometry-optimized LiNiTe2 structure, as listed in Alexandria.

The structure in POSCAR format:
```
LiNiTe2
1.0
3.3889 0.0000 0.0000
0.0000 3.3889 0.0000
0.0000 0.0000 7.8303
Li Ni Te
1 1 2
Direct
0.0000 0.0000 0.0000 Li
0.5000 0.5000 0.1852 Ni
0.0000 0.0000 0.3359 Te
0.5000 0.5000 0.8299 Te
```

Properties
- density of states at the Fermi level (states/eV/cell) = 2.492
- symmetry = P4mm
- magnetic moment (μB per formula unit) = 0.00
- formation energy without anion corrections (eV per atom) = -0.27